[1]
Density functional theory data (GGA-PBE) for a geometry-optimized Dy2Ga5IrRu2 structure.

```
Dy2Ga5IrRu2
1.0
10.578 0.000 0.000
0.000 10.578 0.000
0.000 0.000 3.157
Dy Ga Ir Ru
4 10 2 4
Cartesian
1.927 3.362 0.000
3.362 8.651 0.000
7.216 1.927 0.000
8.651 7.216 0.000
0.000 5.289 1.579
0.574 8.547 1.579
2.031 0.574 1.579
3.258 5.863 1.579
4.715 3.258 1.579
5.289 0.000 1.579
5.863 7.320 1.579
7.320 4.715 1.579
8.547 10.004 1.579
10.004 2.031 1.579
0.000 0.000 0.000
5.289 5.289 0.000
1.359 6.648 0.000
3.930 1.359 0.000
6.648 9.219 0.000
9.219 3.930 0.000
```

Output
- Density: 10.0 Mg/m³
- N(E_F): 10.7 states/eV/cell
- Calculated formation energy: -0.39 eV per atom

***

[2]
Density functional theory data (GGA-PBE) for a geometry-optimized DyScGa2Ir2 structure.

```
DyScGa2Ir2
1.0
4.401 0.000 0.000
-2.201 3.812 0.000
0.000 0.000 6.558
Dy Sc Ga Ir
1 1 2 2
Cartesian
0.000 0.000 0.000
0.000 0.000 3.279
0.000 2.541 1.864
2.201 1.271 4.694
0.000 2.541 4.734
2.201 1.271 1.824
```

Output
- Density: 11.0 Mg/m³
- N(E_F): 3.1 states/eV/cell
- Calculated formation energy: -0.81 eV per atom

***

[3]
Density functional theory data (GGA-PBE) for a geometry-optimized Dy2GaSi3Ir4 structure.

```
Dy2GaSi3Ir4
1.0
4.140 0.000 0.000
0.000 4.140 0.000
0.000 0.000 9.990
Dy Ga Si Ir
2 1 3 4
Cartesian
0.000 2.070 2.487
2.070 0.000 7.503
2.070 2.070 0.000
0.000 0.000 0.000
0.000 2.070 6.282
2.070 0.000 3.708
0.000 0.000 4.995
0.000 2.070 8.628
2.070 0.000 1.362
2.070 2.070 4.995
```

Output
- Density: 12.1 Mg/m³
- N(E_F): 6.4 states/eV/cell
- Energy relative to the elements, uncorrected: -0.9906 eV per atom

***

[4]
Density functional theory data (GGA-PBE) for a geometry-optimized Dy2GaSi4Ir3 structure.

```
Dy2GaSi4Ir3
1.0
4.110 0.000 0.000
0.000 4.110 0.000
0.000 0.000 10.134
Dy Ga Si Ir
2 1 4 3
Cartesian
0.000 2.055 2.458
2.055 0.000 7.676
0.000 0.000 5.067
0.000 0.000 0.000
0.000 2.055 6.522
2.055 0.000 3.612
2.055 2.055 0.000
0.000 2.055 8.873
2.055 0.000 1.262
2.055 2.055 5.067
```

Output
- Density: 10.5 Mg/m³
- N(E_F): 5.2 states/eV/cell
- Energy relative to the elements, uncorrected: -0.8739 eV per atom

***

> The lowest N(E_F) belongs to which entry?

DyScGa2Ir2

***

> Which of these has the highest density?

Dy2GaSi3Ir4

***

> Which of these has the highest N(E_F)?

Dy2Ga5IrRu2